Li3Fe4SbO8 | Alexandria via LeMat-Bulk | PBE with a Hubbard U | optimized geometry; Fermi-level density of states = 0.0 states/eV per cell; E = -0.221 Ha/atom
1.0
-0.177 5.899 1.291
-0.876 1.592 5.761
4.641 2.536 3.169
Li O Sb Fe
3 8 1 4
Direct
0.000 0.000 0.500
0.500 0.000 0.000
0.000 0.500 0.000
0.263 0.263 0.236
0.733 0.277 0.232
0.723 0.267 0.768
0.267 0.723 0.768
0.737 0.737 0.764
0.753 0.753 0.268
0.247 0.247 0.732
0.277 0.733 0.232
0.500 0.500 0.000
0.000 0.500 0.500
0.500 0.000 0.500
0.000 0.000 0.000
0.500 0.500 0.500